## HoThSe2O (PBE)

Data for a relaxed HoThSe2O crystal.

Structure (CIF):
```
data_HoThSe2O
_chemical_formula_sum 'Ho2 Th2 Se4 O2'
_space_group_name_H-M_alt 'P 4/n m m'
_space_group_IT_number 129
_cell_length_a 3.9789
_cell_length_b 3.9789
_cell_length_c 13.7837
_cell_angle_alpha 90.00
_cell_angle_beta 90.00
_cell_angle_gamma 90.00
loop_
_space_group_symop_operation_xyz
'x,y,z'
'-x,-y,-z'
'-y+1/2,x,z'
'y+1/2,-x,-z'
'-x+1/2,-y+1/2,z'
'x+1/2,y+1/2,-z'
'y,-x+1/2,z'
'-y,x+1/2,-z'
'x+1/2,-y,-z'
'-x+1/2,y,z'
'-y,-x,-z'
'y,x,z'
'-x,y+1/2,-z'
'x,-y+1/2,z'
'y+1/2,x+1/2,-z'
'-y+1/2,-x+1/2,z'
loop_
_atom_site_label
_atom_site_fract_x
_atom_site_fract_y
_atom_site_fract_z
Ho1 0.2500 0.2500 0.0914
Th1 0.2500 0.2500 0.5993
Se1 0.2500 0.2500 0.3059
Se2 0.2500 0.2500 0.8802
O1 0.2500 0.7500 0.5000
```

Values from the calculation:
uncorrected energy	-72.2	eV for the cell shown
V	21.82	A^3/atom